Compound: ScInSe2
Source: the Alexandria database
Functional: PBE
Structure: optimized geometry

Cell: 7.134 7.134 7.134 Å, 90.00 90.00 90.00°
Space group F-43m (No. 216)
Symmetry-distinct sites (fractional):
Sc1 0.000 0.000 0.000 (multiplicity 4)
In1 0.250 0.250 0.750 (multiplicity 4)
Se1 0.000 0.000 0.500 (multiplicity 4)
Se2 0.250 0.250 0.250 (multiplicity 4)

Summary:
- DOS at the Fermi energy: 0.428 states/eV per atom
- Calculated volume: 22.69 Å³/atom
- Energy relative to the elements, uncorrected: -0.95 eV/f.u.
- Raw total energy: -4.247 eV per atom